Record 1
An optimized crystal structure of SrCdAsO. Source: OQMD, functional PBE-GGA. Values from VASP.

Quantum ESPRESSO input file:
```
&SYSTEM
  ibrav = 0, nat = 8, ntyp = 4
/
ATOMIC_SPECIES
Sr 87.62 Sr.upf
As 74.92 As.upf
O 16.00 O.upf
Cd 112.41 Cd.upf
CELL_PARAMETERS angstrom
-1.885 1.571 -2.602
-4.897 -5.072 0.486
-3.624 3.981 5.030
ATOMIC_POSITIONS crystal
Sr 0.500 0.955 0.101
Sr 0.500 0.045 0.601
As 0.000 0.280 0.319
As 0.000 0.720 0.819
O 0.500 0.204 0.879
O 0.500 0.796 0.379
Cd 0.000 0.622 0.455
Cd 0.000 0.378 0.955
```

electronic total energy = -4.09 eV/atom

Record 2
An optimized crystal structure of SrCdAsO. Source: OQMD, functional PBE-GGA. Values from VASP.

Quantum ESPRESSO input file:
```
&SYSTEM
  ibrav = 0, nat = 8, ntyp = 4
/
ATOMIC_SPECIES
Sr 87.62 Sr.upf
O 16.00 O.upf
Cd 112.41 Cd.upf
As 74.92 As.upf
CELL_PARAMETERS angstrom
-1.210 3.612 1.081
-3.220 -3.050 6.585
5.411 0.897 3.061
ATOMIC_POSITIONS crystal
Sr 0.000 0.756 0.948
Sr 0.000 0.244 0.448
O 0.500 0.388 0.367
O 0.500 0.612 0.867
Cd 0.500 0.640 0.499
Cd 0.500 0.360 0.999
As 0.000 0.139 0.940
As 0.000 0.861 0.440
```

electronic total energy = -4.12 eV/atom

Record 3
An optimized crystal structure of Sr2Cd3As2O2. Source: OQMD, functional PBE-GGA. Values from VASP.

Quantum ESPRESSO input file:
```
&SYSTEM
  ibrav = 0, nat = 9, ntyp = 4
/
ATOMIC_SPECIES
As 74.92 As.upf
O 16.00 O.upf
Cd 112.41 Cd.upf
Sr 87.62 Sr.upf
CELL_PARAMETERS angstrom
-0.404 -7.259 7.055
-0.658 -1.771 9.953
-2.567 4.483 -8.715
ATOMIC_POSITIONS crystal
As 0.160 0.160 0.000
As 0.840 0.840 0.000
O 0.000 0.500 0.500
O 0.500 0.000 0.500
Cd 0.000 0.000 0.000
Cd 0.250 0.750 0.500
Cd 0.750 0.250 0.500
Sr 0.583 0.583 0.000
Sr 0.417 0.417 0.000
```

electronic total energy = -3.96 eV/atom

Record 4
An optimized crystal structure of TlCdAsO. Source: OQMD, functional PBE-GGA. Values from VASP.

Quantum ESPRESSO input file:
```
&SYSTEM
  ibrav = 0, nat = 8, ntyp = 4
/
ATOMIC_SPECIES
Tl 204.38 Tl.upf
As 74.92 As.upf
Cd 112.41 Cd.upf
O 16.00 O.upf
CELL_PARAMETERS angstrom
-0.264 -0.760 -4.088
2.784 -3.076 0.392
-6.937 -6.077 1.578
ATOMIC_POSITIONS crystal
Tl 0.500 0.000 0.115
Tl 0.000 0.500 0.885
As 0.500 0.000 0.698
As 0.000 0.500 0.302
Cd 0.500 0.500 0.500
Cd 0.000 0.000 0.500
O 0.000 0.000 0.000
O 0.500 0.500 0.000
```

electronic total energy = -3.32 eV/atom

Record 5
An optimized crystal structure of TlCdAsO. Source: OQMD, functional PBE-GGA. Values from VASP.

Quantum ESPRESSO input file:
```
&SYSTEM
  ibrav = 0, nat = 8, ntyp = 4
/
ATOMIC_SPECIES
As 74.92 As.upf
O 16.00 O.upf
Cd 112.41 Cd.upf
Tl 204.38 Tl.upf
CELL_PARAMETERS angstrom
4.103 0.000 0.000
0.000 6.634 0.000
0.000 0.000 6.632
ATOMIC_POSITIONS crystal
As 0.000 0.260 0.358
As 0.000 0.740 0.858
O 0.500 0.811 0.379
O 0.500 0.189 0.879
Cd 0.500 0.103 0.557
Cd 0.500 0.897 0.057
Tl 0.000 0.350 0.960
Tl 0.000 0.650 0.460
```

electronic total energy = -3.52 eV/atom

Record 6
An optimized crystal structure of TlCdAsO. Source: OQMD, functional PBE-GGA. Values from VASP.

Quantum ESPRESSO input file:
```
&SYSTEM
  ibrav = 0, nat = 8, ntyp = 4
/
ATOMIC_SPECIES
Tl 204.38 Tl.upf
Cd 112.41 Cd.upf
O 16.00 O.upf
As 74.92 As.upf
CELL_PARAMETERS angstrom
3.199 -3.199 0.000
3.199 3.199 0.000
0.000 0.000 9.128
ATOMIC_POSITIONS crystal
Tl 0.000 0.500 0.500
Tl 0.500 0.000 0.500
Cd 0.500 0.500 0.019
Cd 0.000 0.000 0.981
O 0.500 0.000 0.000
O 0.000 0.500 0.000
As 0.500 0.500 0.689
As 0.000 0.000 0.311
```

electronic total energy = -3.39 eV/atom

Record 7
An optimized crystal structure of TlCdAsO. Source: OQMD, functional PBE-GGA. Values from VASP.

Quantum ESPRESSO input file:
```
&SYSTEM
  ibrav = 0, nat = 8, ntyp = 4
/
ATOMIC_SPECIES
O 16.00 O.upf
Tl 204.38 Tl.upf
Cd 112.41 Cd.upf
As 74.92 As.upf
CELL_PARAMETERS angstrom
-3.230 0.230 -2.609
0.637 -3.949 -1.137
-5.674 -2.865 6.771
ATOMIC_POSITIONS crystal
O 0.250 0.750 0.000
O 0.750 0.250 0.000
Tl 0.250 0.250 0.116
Tl 0.750 0.750 0.884
Cd 0.750 0.250 0.500
Cd 0.250 0.750 0.500
As 0.750 0.750 0.300
As 0.250 0.250 0.700
```

electronic total energy = -3.31 eV/atom

Record 8
An optimized crystal structure of TlCdAsO. Source: OQMD, functional PBE-GGA. Values from VASP.

Quantum ESPRESSO input file:
```
&SYSTEM
  ibrav = 0, nat = 8, ntyp = 4
/
ATOMIC_SPECIES
Cd 112.41 Cd.upf
O 16.00 O.upf
Tl 204.38 Tl.upf
As 74.92 As.upf
CELL_PARAMETERS angstrom
-3.167 2.316 -1.513
-4.206 -5.164 0.899
-1.324 2.130 6.033
ATOMIC_POSITIONS crystal
Cd 0.000 0.791 0.963
Cd 0.000 0.209 0.463
O 0.500 0.657 0.885
O 0.500 0.343 0.385
Tl 0.500 0.345 0.036
Tl 0.500 0.655 0.536
As 0.000 0.822 0.369
As 0.000 0.178 0.869
```

electronic total energy = -3.53 eV/atom

Record 9
An optimized crystal structure of TmCdAsO. Source: OQMD, functional PBE-GGA. Values from VASP.

Quantum ESPRESSO input file:
```
&SYSTEM
  ibrav = 0, nat = 8, ntyp = 4
/
ATOMIC_SPECIES
O 16.00 O.upf
Cd 112.41 Cd.upf
Tm 168.93 Tm.upf
As 74.92 As.upf
CELL_PARAMETERS angstrom
4.056 0.000 0.000
0.000 6.226 0.000
0.000 0.000 6.632
ATOMIC_POSITIONS crystal
O 0.500 0.277 0.367
O 0.500 0.723 0.867
Cd 0.000 0.893 0.956
Cd 0.000 0.107 0.456
Tm 0.500 0.470 0.098
Tm 0.500 0.530 0.598
As 0.000 0.289 0.834
As 0.000 0.711 0.334
```

electronic total energy = -5.23 eV/atom
spin magnetization = 0.00 μB per cell

Record 10
An optimized crystal structure of TmCdAsO. Source: OQMD, functional PBE-GGA. Values from VASP.

Quantum ESPRESSO input file:
```
&SYSTEM
  ibrav = 0, nat = 8, ntyp = 4
/
ATOMIC_SPECIES
O 16.00 O.upf
As 74.92 As.upf
Cd 112.41 Cd.upf
Tm 168.93 Tm.upf
CELL_PARAMETERS angstrom
4.442 0.000 0.000
0.000 6.061 0.000
0.000 0.000 6.109
ATOMIC_POSITIONS crystal
O 0.500 0.727 0.911
O 0.500 0.273 0.411
As 0.000 0.236 0.883
As 0.000 0.764 0.383
Cd 0.500 0.637 0.545
Cd 0.500 0.363 0.045
Tm 0.000 0.765 0.915
Tm 0.000 0.235 0.415
```

electronic total energy = -5.20 eV/atom
spin magnetization = 0.00 μB per cell

Record 11
An optimized crystal structure of ZnCdAsO. Source: OQMD, functional PBE-GGA. Values from VASP.

Quantum ESPRESSO input file:
```
&SYSTEM
  ibrav = 0, nat = 8, ntyp = 4
/
ATOMIC_SPECIES
Zn 65.41 Zn.upf
Cd 112.41 Cd.upf
As 74.92 As.upf
O 16.00 O.upf
CELL_PARAMETERS angstrom
3.278 0.000 0.000
0.000 7.251 0.000
0.000 0.000 6.207
ATOMIC_POSITIONS crystal
Zn 0.500 0.105 0.547
Zn 0.500 0.895 0.047
Cd 0.000 0.690 0.458
Cd 0.000 0.310 0.958
As 0.000 0.666 0.887
As 0.000 0.334 0.387
O 0.500 0.113 0.862
O 0.500 0.887 0.362
```

electronic total energy = -3.49 eV/atom

Record 12
An optimized crystal structure of ZnCdAsO. Source: OQMD, functional PBE-GGA. Values from VASP.

Quantum ESPRESSO input file:
```
&SYSTEM
  ibrav = 0, nat = 8, ntyp = 4
/
ATOMIC_SPECIES
Cd 112.41 Cd.upf
As 74.92 As.upf
Zn 65.41 Zn.upf
O 16.00 O.upf
CELL_PARAMETERS angstrom
3.112 0.000 0.000
0.000 6.997 0.000
0.000 0.000 6.687
ATOMIC_POSITIONS crystal
Cd 0.500 0.377 0.059
Cd 0.500 0.623 0.559
As 0.000 0.137 0.837
As 0.000 0.863 0.337
Zn 0.000 0.809 0.971
Zn 0.000 0.191 0.471
O 0.500 0.651 0.887
O 0.500 0.349 0.387
```

electronic total energy = -3.52 eV/atom

Record 13
An optimized crystal structure of Cd2AsOs. Source: OQMD, functional PBE-GGA. Values from VASP.

Quantum ESPRESSO input file:
```
&SYSTEM
  ibrav = 0, nat = 4, ntyp = 3
/
ATOMIC_SPECIES
Os 190.23 Os.upf
As 74.92 As.upf
Cd 112.41 Cd.upf
CELL_PARAMETERS angstrom
-4.535 -1.089 0.314
-2.400 1.077 3.864
-3.229 3.378 -0.120
ATOMIC_POSITIONS crystal
Os 0.250 0.250 0.250
As 0.500 0.500 0.500
Cd 0.000 0.000 0.000
Cd 0.750 0.750 0.750
```

electronic total energy = -3.76 eV/atom
spin magnetization = 0.21 μB per cell

Record 14
An optimized crystal structure of CdAsOs2. Source: OQMD, functional PBE-GGA. Values from VASP.

Quantum ESPRESSO input file:
```
&SYSTEM
  ibrav = 0, nat = 4, ntyp = 3
/
ATOMIC_SPECIES
Cd 112.41 Cd.upf
As 74.92 As.upf
Os 190.23 Os.upf
CELL_PARAMETERS angstrom
-0.846 -4.432 0.294
-2.966 -1.538 3.047
-3.992 -1.634 -1.356
ATOMIC_POSITIONS crystal
Cd 0.250 0.250 0.250
As 0.500 0.500 0.500
Os 0.750 0.750 0.750
Os 0.000 0.000 0.000
```

electronic total energy = -6.17 eV/atom
spin magnetization = 0.01 μB per cell

Record 15
An optimized crystal structure of CdAs2Os. Source: OQMD, functional PBE-GGA. Values from VASP.

Quantum ESPRESSO input file:
```
&SYSTEM
  ibrav = 0, nat = 4, ntyp = 3
/
ATOMIC_SPECIES
As 74.92 As.upf
Cd 112.41 Cd.upf
Os 190.23 Os.upf
CELL_PARAMETERS angstrom
3.414 -2.819 -1.360
0.599 -4.089 2.092
-0.995 -3.923 -2.253
ATOMIC_POSITIONS crystal
As 0.250 0.250 0.250
As 0.000 0.000 0.000
Cd 0.500 0.500 0.500
Os 0.750 0.750 0.750
```

electronic total energy = -4.55 eV/atom
spin magnetization = 0.00 μB per cell

Record 16
An optimized crystal structure of CdAsPPb2. Source: OQMD, functional PBE-GGA. Values from VASP.

Quantum ESPRESSO input file:
```
&SYSTEM
  ibrav = 0, nat = 10, ntyp = 4
/
ATOMIC_SPECIES
P 30.97 P.upf
Pb 207.20 Pb.upf
Cd 112.41 Cd.upf
As 74.92 As.upf
CELL_PARAMETERS angstrom
2.195 -8.200 0.000
2.195 8.200 0.000
0.000 0.000 7.538
ATOMIC_POSITIONS crystal
P 0.187 0.813 0.989
P 0.813 0.187 0.489
Pb 0.803 0.197 0.875
Pb 0.954 0.046 0.251
Pb 0.046 0.954 0.751
Pb 0.197 0.803 0.375
Cd 0.397 0.603 0.577
Cd 0.603 0.397 0.077
As 0.441 0.559 0.932
As 0.559 0.441 0.432
```

electronic total energy = -3.66 eV/atom

Record 17
An optimized crystal structure of Cd2As3PPb2. Source: OQMD, functional PBE-GGA. Values from VASP.

Quantum ESPRESSO input file:
```
&SYSTEM
  ibrav = 0, nat = 8, ntyp = 4
/
ATOMIC_SPECIES
Cd 112.41 Cd.upf
P 30.97 P.upf
As 74.92 As.upf
Pb 207.20 Pb.upf
CELL_PARAMETERS angstrom
6.904 -3.124 0.000
6.904 3.124 0.000
-2.781 0.000 5.570
ATOMIC_POSITIONS crystal
Cd 0.997 0.761 0.638
Cd 0.239 0.003 0.362
P 0.881 0.119 0.000
As 0.368 0.632 0.500
As 0.127 0.373 0.737
As 0.627 0.873 0.263
Pb 0.755 0.493 0.878
Pb 0.507 0.245 0.122
```

electronic total energy = -3.54 eV/atom

Record 18
An optimized crystal structure of Cd2As3PPd2. Source: OQMD, functional PBE-GGA. Values from VASP.

Quantum ESPRESSO input file:
```
&SYSTEM
  ibrav = 0, nat = 8, ntyp = 4
/
ATOMIC_SPECIES
Cd 112.41 Cd.upf
P 30.97 P.upf
As 74.92 As.upf
Pd 106.42 Pd.upf
CELL_PARAMETERS angstrom
6.423 -2.936 0.000
6.423 2.936 0.000
-2.630 0.000 5.241
ATOMIC_POSITIONS crystal
Cd 0.233 0.005 0.359
Cd 0.995 0.767 0.641
P 0.828 0.172 0.000
As 0.419 0.581 0.500
As 0.629 0.872 0.210
As 0.128 0.371 0.790
Pd 0.512 0.245 0.120
Pd 0.755 0.488 0.880
```

electronic total energy = -3.87 eV/atom

Record 19
An optimized crystal structure of Pr2CdAsP. Source: OQMD, functional PBE-GGA. Values from VASP.

Quantum ESPRESSO input file:
```
&SYSTEM
  ibrav = 0, nat = 10, ntyp = 4
/
ATOMIC_SPECIES
P 30.97 P.upf
Pr 140.91 Pr.upf
Cd 112.41 Cd.upf
As 74.92 As.upf
CELL_PARAMETERS angstrom
2.097 -8.727 0.000
2.097 8.727 0.000
0.000 0.000 6.960
ATOMIC_POSITIONS crystal
P 0.681 0.319 0.461
P 0.319 0.681 0.961
Pr 0.293 0.707 0.383
Pr 0.707 0.293 0.883
Pr 0.532 0.468 0.254
Pr 0.468 0.532 0.754
Cd 0.897 0.103 0.072
Cd 0.103 0.897 0.572
As 0.913 0.087 0.463
As 0.087 0.913 0.963
```

electronic total energy = -4.97 eV/atom
spin magnetization = 0.01 μB per cell

Record 20
An optimized crystal structure of Pr2Cd2SbAsP2. Source: OQMD, functional PBE-GGA. Values from VASP.

Quantum ESPRESSO input file:
```
&SYSTEM
  ibrav = 0, nat = 8, ntyp = 5
/
ATOMIC_SPECIES
P 30.97 P.upf
Sb 121.76 Sb.upf
Cd 112.41 Cd.upf
Pr 140.91 Pr.upf
As 74.92 As.upf
CELL_PARAMETERS angstrom
4.123 0.000 0.000
0.000 4.123 0.000
0.000 0.000 10.901
ATOMIC_POSITIONS crystal
P 0.500 0.000 0.310
P 0.000 0.500 0.690
Sb 0.000 0.000 0.000
Cd 0.500 0.500 0.500
Cd 0.000 0.000 0.500
Pr 0.500 0.000 0.771
Pr 0.000 0.500 0.229
As 0.500 0.500 0.000
```

electronic total energy = -4.50 eV/atom
spin magnetization = 0.01 μB per cell

Record 21
An optimized crystal structure of Cd2AsP3Pt2. Source: OQMD, functional PBE-GGA. Values from VASP.

Quantum ESPRESSO input file:
```
&SYSTEM
  ibrav = 0, nat = 8, ntyp = 4
/
ATOMIC_SPECIES
Cd 112.41 Cd.upf
P 30.97 P.upf
Pt 195.08 Pt.upf
As 74.92 As.upf
CELL_PARAMETERS angstrom
6.093 -2.954 0.000
6.093 2.954 0.000
-2.778 0.000 5.133
ATOMIC_POSITIONS crystal
Cd 0.006 0.738 0.133
Cd 0.262 0.994 0.867
P 0.621 0.877 0.292
P 0.427 0.573 0.500
P 0.123 0.379 0.708
Pt 0.483 0.251 0.607
Pt 0.749 0.517 0.393
As 0.829 0.171 0.000
```

electronic total energy = -4.39 eV/atom
spin magnetization = 0.00 μB per cell

Record 22
An optimized crystal structure of Pu2Cd2As3P. Source: OQMD, functional PBE-GGA. Values from VASP.

Quantum ESPRESSO input file:
```
&SYSTEM
  ibrav = 0, nat = 8, ntyp = 4
/
ATOMIC_SPECIES
As 74.92 As.upf
Pu 244.00 Pu.upf
Cd 112.41 Cd.upf
P 30.97 P.upf
CELL_PARAMETERS angstrom
5.494 0.000 0.000
0.933 5.415 0.000
2.478 2.085 6.136
ATOMIC_POSITIONS crystal
As 0.656 0.320 0.746
As 0.137 0.863 0.500
As 0.680 0.344 0.254
Pu 0.562 0.878 0.650
Pu 0.122 0.438 0.350
Cd 0.595 0.892 0.135
Cd 0.108 0.405 0.865
P 0.139 0.861 0.000
```

electronic total energy = -6.57 eV/atom
spin magnetization = 9.42 μB per cell

Record 23
An optimized crystal structure of RbCd4As2P. Source: OQMD, functional PBE-GGA. Values from VASP.

Quantum ESPRESSO input file:
```
&SYSTEM
  ibrav = 0, nat = 8, ntyp = 4
/
ATOMIC_SPECIES
Cd 112.41 Cd.upf
Rb 85.47 Rb.upf
As 74.92 As.upf
P 30.97 P.upf
CELL_PARAMETERS angstrom
-10.249 1.129 7.195
-8.857 -2.978 8.412
-7.083 0.671 10.366
ATOMIC_POSITIONS crystal
Cd 0.915 0.915 0.915
Cd 0.085 0.085 0.085
Cd 0.696 0.696 0.696
Cd 0.304 0.304 0.304
Rb 0.500 0.500 0.500
As 0.231 0.231 0.231
As 0.769 0.769 0.769
P 0.000 0.000 0.000
```

electronic total energy = -2.63 eV/atom

Record 24
An optimized crystal structure of Cd2Re2AsP3. Source: OQMD, functional PBE-GGA. Values from VASP.

Quantum ESPRESSO input file:
```
&SYSTEM
  ibrav = 0, nat = 8, ntyp = 4
/
ATOMIC_SPECIES
P 30.97 P.upf
Cd 112.41 Cd.upf
Re 186.21 Re.upf
As 74.92 As.upf
CELL_PARAMETERS angstrom
6.098 -2.935 0.000
6.098 2.935 0.000
-2.555 0.000 5.149
ATOMIC_POSITIONS crystal
P 0.431 0.569 0.500
P 0.110 0.389 0.693
P 0.611 0.890 0.307
Cd 0.009 0.728 0.134
Cd 0.272 0.991 0.866
Re 0.488 0.255 0.623
Re 0.745 0.512 0.377
As 0.832 0.168 0.000
```

electronic total energy = -5.72 eV/atom
spin magnetization = 0.01 μB per cell

Record 25
An optimized crystal structure of CdSiAsP. Source: OQMD, functional PBE-GGA. Values from VASP.

Quantum ESPRESSO input file:
```
&SYSTEM
  ibrav = 0, nat = 8, ntyp = 4
/
ATOMIC_SPECIES
As 74.92 As.upf
Si 28.09 Si.upf
Cd 112.41 Cd.upf
P 30.97 P.upf
CELL_PARAMETERS angstrom
6.535 0.380 -1.821
1.211 6.626 -0.892
-2.749 -3.210 5.320
ATOMIC_POSITIONS crystal
As 0.750 0.962 0.212
As 0.250 0.538 0.288
Si 0.130 0.880 0.250
Si 0.370 0.620 0.750
Cd 0.633 0.383 0.250
Cd 0.867 0.117 0.750
P 0.048 0.750 0.798
P 0.452 0.250 0.702
```

electronic total energy = -4.26 eV/atom